[1]
First-principles (GGA-PBE) data for a geometry-optimized Li6Mg4Ag structure, as listed in Alexandria via LeMat-Bulk.

Lattice parameters (Å, degrees): 7.9199 7.9199 7.9199 138.89 138.89 59.54
Sites, in units of the cell vectors:
1 Li 0.0000 0.5000 0.5000
2 Li 0.0656 0.7161 0.0000
3 Li 0.2839 0.2839 0.3496
4 Li 0.5000 0.0000 0.5000
5 Li 0.7161 0.0656 0.0000
6 Li 0.9344 0.9344 0.6504
7 Mg 0.1249 0.1249 0.6153
8 Mg 0.4904 0.8751 0.0000
9 Mg 0.5096 0.5096 0.3847
10 Mg 0.8751 0.4904 0.0000
11 Ag 0.5000 0.5000 0.0000

Computed properties:
Energy in eV per atom: -1.91
Energy of formation in kJ per mole of atoms: -2



[2]
First-principles (GGA-PBE) data for a geometry-optimized LaRuRh2 structure, as listed in Alexandria via LeMat-Bulk.

Lattice parameters (Å, degrees): 5.0291 5.0291 5.0291 131.09 131.09 71.68
Sites, in units of the cell vectors:
1 La 0.0000 0.0000 0.0000
2 Ru 0.2500 0.7500 0.5000
3 Rh 0.5000 0.5000 0.0000
4 Rh 0.7500 0.2500 0.5000

Computed properties:
Energy in eV per atom: -7.24
Energy relative to the lowest polymorph listed for this composition in meV per atom: 86
Energy of formation in kJ per mole of atoms: -1



[3]
First-principles (GGA-PBE) data for a geometry-optimized BaCoSe structure, as listed in Alexandria via LeMat-Bulk.

Lattice parameters (Å, degrees): 6.4863 5.9919 4.0244 78.00 64.63 37.37
Sites, in units of the cell vectors:
1 Ba 0.0000 0.0000 0.0000
2 Co 0.7184 0.7184 0.2816
3 Se 0.2830 0.2830 0.7170

Computed properties:
Energy in eV per atom: -4.37
Energy relative to the lowest polymorph listed for this composition in meV per atom: 465



[4]
First-principles (GGA-PBE) data for a geometry-optimized La2MnZn2Pd5 structure, as listed in Alexandria via LeMat-Bulk.

Lattice parameters (Å, degrees): 9.9371 9.9371 3.8056 90.00 90.00 90.00
Sites, in units of the cell vectors:
1 La 0.1791 0.3209 0.0000
2 La 0.3209 0.8209 0.0000
3 La 0.6791 0.1791 0.0000
4 La 0.8209 0.6791 0.0000
5 Mn 0.0000 0.0000 0.0000
6 Mn 0.5000 0.5000 0.0000
7 Zn 0.1189 0.6189 0.0000
8 Zn 0.3811 0.1189 0.0000
9 Zn 0.6189 0.8811 0.0000
10 Zn 0.8811 0.3811 0.0000
11 Pd 0.0000 0.5000 0.5000
12 Pd 0.0614 0.7971 0.5000
13 Pd 0.2029 0.0614 0.5000
14 Pd 0.2971 0.5614 0.5000
15 Pd 0.4386 0.2971 0.5000
16 Pd 0.5000 0.0000 0.5000
17 Pd 0.5614 0.7029 0.5000
18 Pd 0.7029 0.4386 0.5000
19 Pd 0.7971 0.9386 0.5000
20 Pd 0.9386 0.2029 0.5000

Computed properties:
Energy in eV per atom: -5.30
Energy of formation in kJ per mole of atoms: -53